(1)
## Ba6CdIr (PBE)

Data for Ba6CdIr after structural relaxation.

Output
total magnetic moment = 0.00 μB per formula unit
formation energy from the elements = -0.15 eV/atom
VASP energy = -22.535 eV per cell

Lattice parameters (Å, degrees): 8.034 8.032 9.057 63.67 63.74 60.04
Fractional coordinates of all 8 atoms:
Ba (0.065, 0.395, 0.769)
Ba (0.771, 0.064, 0.769)
Ba (0.606, 0.229, 0.231)
Ba (0.229, 0.936, 0.231)
Ba (0.935, 0.605, 0.231)
Ba (0.394, 0.771, 0.769)
Cd (0.500, 0.500, 0.500)
Ir (0.000, 0.000, 0.000)

=====

(2)
## BaCd2Ir (PBE)

Data for BaCd2Ir after structural relaxation.

Output
total magnetic moment = 0.00 μB per formula unit
formation energy from the elements = 0.05 eV/atom
VASP energy = -12.398 eV per cell

Lattice parameters (Å, degrees): 3.361 3.991 7.655 90.00 90.00 90.00
Fractional coordinates of all 4 atoms:
Ir (0.000, 0.000, 0.434)
Ba (0.500, 0.500, 0.713)
Cd (0.000, 0.000, 0.065)
Cd (0.500, 0.500, 0.288)

=====

(3)
## Ba2CdIr2 (PBE)

Data for Ba2CdIr2 after structural relaxation.

Output
total magnetic moment = 1.02 μB per formula unit
formation energy from the elements = 0.20 eV/atom
VASP energy = -21.486 eV per cell

Lattice parameters (Å, degrees): 5.949 5.949 5.949 116.87 116.87 95.51
Each line ends with the local moment (μB).
Fractional coordinates of all 5 atoms:
Ba (0.250, 0.750, 0.500)  -0.01
Ba (0.750, 0.250, 0.500)  -0.01
Cd (0.000, 0.000, 0.000)  0.01
Ir (0.344, 0.344, 0.000)  0.51
Ir (0.656, 0.656, 0.000)  0.51

=====

(4)
## BaCdIr2 (PBE)

Data for BaCdIr2 after structural relaxation.

Output
total magnetic moment = 0.00 μB per formula unit
formation energy from the elements = 0.41 eV/atom
VASP energy = -18.937 eV per cell

Lattice parameters (Å, degrees): 3.023 4.307 6.873 90.00 90.00 90.00
Fractional coordinates of all 4 atoms:
Ir (0.000, 0.000, 0.932)
Ir (0.000, 0.000, 0.568)
Ba (0.500, 0.500, 0.250)
Cd (0.500, 0.500, 0.750)

=====

(5)
## Ba6CdIr2 (PBE)

Data for Ba6CdIr2 after structural relaxation.

Output
total magnetic moment = 0.00 μB per formula unit
formation energy from the elements = -0.16 eV/atom
VASP energy = -31.583 eV per cell
ΔE to the lowest computed polymorph = 0.0 meV per atom

Lattice parameters (Å, degrees): 7.799 8.022 8.022 120.00 90.00 90.00
Fractional coordinates of all 9 atoms:
Ba (0.720, 0.638, 0.638)
Ba (0.280, 0.638, 0.000)
Ba (0.280, 0.000, 0.638)
Ba (0.720, 0.362, 0.000)
Ba (0.280, 0.362, 0.362)
Ba (0.720, 0.000, 0.362)
Cd (0.000, 0.000, 0.000)
Ir (0.500, 0.667, 0.333)
Ir (0.500, 0.333, 0.667)

=====

(6)
## BaCdIr2 (PBE)

Data for BaCdIr2 after structural relaxation.

Output
total magnetic moment = 0.00 μB per formula unit
formation energy from the elements = 0.57 eV/atom
VASP energy = -18.274 eV per cell

Lattice parameters (Å, degrees): 4.479 4.479 4.248 90.00 90.00 90.00
Fractional coordinates of all 4 atoms:
Ir (0.000, 0.000, 0.000)
Ir (0.500, 0.500, 0.000)
Ba (0.500, 0.000, 0.500)
Cd (0.000, 0.500, 0.500)

=====

(7)
## BaCdIr2 (PBE)

Data for BaCdIr2 after structural relaxation.

Output
total magnetic moment = 1.22 μB per formula unit
formation energy from the elements = 0.71 eV/atom
VASP energy = -17.728 eV per cell

Lattice parameters (Å, degrees): 4.986 4.986 4.986 60.00 60.00 60.00
Each line ends with the local moment (μB).
Fractional coordinates of all 4 atoms:
Ir (0.000, 0.000, 0.000)  0.44
Ir (0.250, 0.250, 0.250)  0.73
Ba (0.500, 0.500, 0.500)  0.02
Cd (0.750, 0.750, 0.750)  0.00

=====

(8)
## BaCd2Ir (PBE)

Data for BaCd2Ir after structural relaxation.

Output
total magnetic moment = 0.00 μB per formula unit
formation energy from the elements = 0.15 eV/atom
VASP energy = -11.998 eV per cell

Lattice parameters (Å, degrees): 5.633 5.633 5.633 131.58 131.58 70.89
Fractional coordinates of all 4 atoms:
Ir (0.250, 0.750, 0.500)
Ba (0.750, 0.250, 0.500)
Cd (0.000, 0.000, 0.000)
Cd (0.500, 0.500, 0.000)

=====

Look up the total magnetic moment of the fifth one.
0.00 μB per formula unit